# 1
# PBE PuTlAg, optimized geometry
data_PuTlAg
_cell_length_a 3.1777
_cell_length_b 4.6583
_cell_length_c 9.8960
_cell_angle_alpha 90.00
_cell_angle_beta 90.00
_cell_angle_gamma 90.00
_space_group_name_H-M_alt 'I m m 2'
_space_group_IT_number 44
loop_
_space_group_symop_operation_xyz
'x,y,z'
'-x,-y,z'
'-x,y,z'
'x,-y,z'
'x+1/2,y+1/2,z+1/2'
'-x+1/2,-y+1/2,z+1/2'
'-x+1/2,y+1/2,z+1/2'
'x+1/2,-y+1/2,z+1/2'
loop_
_atom_site_label
_atom_site_type_symbol
_atom_site_fract_x
_atom_site_fract_y
_atom_site_fract_z
Pu1 Pu 0.0000 0.0000 0.0000
Tl1 Tl 0.0000 0.0000 0.6742
Ag1 Ag 0.0000 0.0000 0.3319
# Energy: -6.445 eV/atom
# Calculated formation energy: 72 meV/atom
# Relative energy among the computed polymorphs: 0.1053 eV per atom



# 2
# PBE Pu2TlAg3, optimized geometry
data_Pu2TlAg3
_cell_length_a 3.0766
_cell_length_b 5.0771
_cell_length_c 18.6341
_cell_angle_alpha 90.00
_cell_angle_beta 90.00
_cell_angle_gamma 90.00
_space_group_name_H-M_alt 'I m m 2'
_space_group_IT_number 44
loop_
_space_group_symop_operation_xyz
'x,y,z'
'-x,-y,z'
'-x,y,z'
'x,-y,z'
'x+1/2,y+1/2,z+1/2'
'-x+1/2,-y+1/2,z+1/2'
'-x+1/2,y+1/2,z+1/2'
'x+1/2,-y+1/2,z+1/2'
loop_
_atom_site_label
_atom_site_type_symbol
_atom_site_fract_x
_atom_site_fract_y
_atom_site_fract_z
Pu1 Pu 0.0000 0.0000 0.0000
Pu2 Pu 0.0000 0.5000 0.2490
Tl1 Tl 0.0000 0.0000 0.5883
Ag1 Ag 0.0000 0.0000 0.4336
Ag2 Ag 0.0000 0.5000 0.6630
Ag3 Ag 0.0000 0.5000 0.8117
# Energy: -6.489 eV/atom
# Calculated formation energy: 109 meV/atom



# 3
# PBE PuTlAg, optimized geometry
data_PuTlAg
_cell_length_a 6.9944
_cell_length_b 6.9944
_cell_length_c 6.9944
_cell_angle_alpha 90.00
_cell_angle_beta 90.00
_cell_angle_gamma 90.00
_space_group_name_H-M_alt 'F -4 3 m'
_space_group_IT_number 216
_space_group_name_Hall 'F -4 2 3'
loop_
_atom_site_label
_atom_site_type_symbol
_atom_site_fract_x
_atom_site_fract_y
_atom_site_fract_z
Pu1 Pu 0.0000 0.0000 0.0000
Tl1 Tl 0.0000 0.0000 0.5000
Ag1 Ag 0.2500 0.2500 0.2500
# Energy: -6.309 eV/atom
# Calculated formation energy: 208 meV/atom
# Relative energy among the computed polymorphs: 0.2411 eV per atom



# 4
# PBE PuTlAg, optimized geometry
data_PuTlAg
_cell_length_a 3.3325
_cell_length_b 3.3325
_cell_length_c 13.1084
_cell_angle_alpha 90.00
_cell_angle_beta 90.00
_cell_angle_gamma 90.00
_space_group_name_H-M_alt 'I 4 m m'
_space_group_IT_number 107
_space_group_name_Hall 'I 4 -2'
loop_
_atom_site_label
_atom_site_type_symbol
_atom_site_fract_x
_atom_site_fract_y
_atom_site_fract_z
Pu1 Pu 0.0000 0.0000 0.0000
Tl1 Tl 0.0000 0.0000 0.3145
Ag1 Ag 0.0000 0.0000 0.6660
# Energy: -6.433 eV/atom
# Calculated formation energy: 84 meV/atom
# Relative energy among the computed polymorphs: 0.1172 eV per atom



# 5
# PBE Pu3Tl4Ag2, optimized geometry
data_Pu3Tl4Ag2
_cell_length_a 11.0931
_cell_length_b 5.1776
_cell_length_c 9.4651
_cell_angle_alpha 90.00
_cell_angle_beta 124.16
_cell_angle_gamma 90.00
_space_group_name_H-M_alt 'C 1 2/m 1'
_space_group_IT_number 12
loop_
_space_group_symop_operation_xyz
'x,y,z'
'-x,-y,-z'
'-x,y,-z'
'x,-y,z'
'x+1/2,y+1/2,z'
'-x+1/2,-y+1/2,-z'
'-x+1/2,y+1/2,-z'
'x+1/2,-y+1/2,z'
loop_
_atom_site_label
_atom_site_type_symbol
_atom_site_fract_x
_atom_site_fract_y
_atom_site_fract_z
Pu1 Pu 0.0000 0.0000 0.0000
Pu2 Pu 0.1625 0.5000 0.6650
Tl1 Tl 0.0668 0.0000 0.3905
Tl2 Tl 0.2098 0.5000 0.0538
Ag1 Ag 0.1092 0.5000 0.2793
# Energy: -6.451 eV/atom
# Calculated formation energy: 11 meV/atom



# 6
# PBE Pu2TlAg, optimized geometry
data_Pu2TlAg
_cell_length_a 5.7233
_cell_length_b 5.7233
_cell_length_c 3.1734
_cell_angle_alpha 90.00
_cell_angle_beta 90.00
_cell_angle_gamma 90.00
_space_group_name_H-M_alt 'P 4/m m m'
_space_group_IT_number 123
_space_group_name_Hall '-P 4 2'
loop_
_atom_site_label
_atom_site_type_symbol
_atom_site_fract_x
_atom_site_fract_y
_atom_site_fract_z
Pu1 Pu 0.0000 0.5000 0.0000
Tl1 Tl 0.0000 0.0000 0.5000
Ag1 Ag 0.5000 0.5000 0.5000
# Energy: -8.395 eV/atom
# Calculated formation energy: 75 meV/atom
# Relative energy among the computed polymorphs: 0.0689 eV per atom



# 7
# PBE Pu2TlAg2, optimized geometry
data_Pu2TlAg2
_cell_length_a 11.0717
_cell_length_b 3.3521
_cell_length_c 12.4133
_cell_angle_alpha 90.00
_cell_angle_beta 92.51
_cell_angle_gamma 90.00
_space_group_name_H-M_alt 'C 1 2/m 1'
_space_group_IT_number 12
loop_
_space_group_symop_operation_xyz
'x,y,z'
'-x,-y,-z'
'-x,y,-z'
'x,-y,z'
'x+1/2,y+1/2,z'
'-x+1/2,-y+1/2,-z'
'-x+1/2,y+1/2,-z'
'x+1/2,-y+1/2,z'
loop_
_atom_site_label
_atom_site_type_symbol
_atom_site_fract_x
_atom_site_fract_y
_atom_site_fract_z
Pu1 Pu 0.0548 0.0000 0.3524
Pu2 Pu 0.1875 0.0000 0.0280
Tl1 Tl 0.2237 0.0000 0.7604
Ag1 Ag 0.0163 0.5000 0.8684
Ag2 Ag 0.1632 0.5000 0.5533
# Energy: -7.193 eV/atom
# Calculated formation energy: 154 meV/atom



# 8
# PBE Pu2TlAg, optimized geometry
data_Pu2TlAg
_cell_length_a 3.2035
_cell_length_b 3.2035
_cell_length_c 35.0845
_cell_angle_alpha 90.00
_cell_angle_beta 90.00
_cell_angle_gamma 120.00
_space_group_name_H-M_alt 'R -3 m'
_space_group_IT_number 166
_space_group_name_Hall '-R 3 2"'
loop_
_atom_site_label
_atom_site_type_symbol
_atom_site_fract_x
_atom_site_fract_y
_atom_site_fract_z
Pu1 Pu 0.0000 0.0000 0.0863
Tl1 Tl 0.0000 0.0000 0.5000
Ag1 Ag 0.0000 0.0000 0.0000
# Energy: -8.126 eV/atom
# Calculated formation energy: 344 meV/atom
# Relative energy among the computed polymorphs: 0.3379 eV per atom



# 9
# PBE Pu2TlAg2, optimized geometry
data_Pu2TlAg2
_cell_length_a 4.7756
_cell_length_b 6.1826
_cell_length_c 8.5773
_cell_angle_alpha 90.00
_cell_angle_beta 90.00
_cell_angle_gamma 90.00
_space_group_name_H-M_alt 'I m m m'
_space_group_IT_number 71
_space_group_name_Hall '-I 2 2'
loop_
_atom_site_label
_atom_site_type_symbol
_atom_site_fract_x
_atom_site_fract_y
_atom_site_fract_z
Pu1 Pu 0.0000 0.0000 0.1950
Tl1 Tl 0.0000 0.5000 0.0000
Ag1 Ag 0.0000 0.2793 0.5000
# Energy: -7.260 eV/atom
# Calculated formation energy: 86 meV/atom



# 10
# PBE Pu2TlAg, optimized geometry
data_Pu2TlAg
_cell_length_a 4.0556
_cell_length_b 4.0556
_cell_length_c 6.2594
_cell_angle_alpha 90.00
_cell_angle_beta 90.00
_cell_angle_gamma 90.00
_space_group_name_H-M_alt 'P 4/m m m'
_space_group_IT_number 123
_space_group_name_Hall '-P 4 2'
loop_
_atom_site_label
_atom_site_type_symbol
_atom_site_fract_x
_atom_site_fract_y
_atom_site_fract_z
Pu1 Pu 0.0000 0.0000 0.2432
Tl1 Tl 0.5000 0.5000 0.5000
Ag1 Ag 0.5000 0.5000 0.0000
# Energy: -8.408 eV/atom
# Calculated formation energy: 62 meV/atom
# Relative energy among the computed polymorphs: 0.0564 eV per atom



# 11
# PBE Pu2Tl2Ag, optimized geometry
data_Pu2Tl2Ag
_cell_length_a 9.3332
_cell_length_b 5.2958
_cell_length_c 6.1980
_cell_angle_alpha 90.00
_cell_angle_beta 121.18
_cell_angle_gamma 90.00
_space_group_name_H-M_alt 'C 1 2/m 1'
_space_group_IT_number 12
loop_
_space_group_symop_operation_xyz
'x,y,z'
'-x,-y,-z'
'-x,y,-z'
'x,-y,z'
'x+1/2,y+1/2,z'
'-x+1/2,-y+1/2,-z'
'-x+1/2,y+1/2,-z'
'x+1/2,-y+1/2,z'
loop_
_atom_site_label
_atom_site_type_symbol
_atom_site_fract_x
_atom_site_fract_y
_atom_site_fract_z
Pu1 Pu 0.1039 0.0000 0.3075
Tl1 Tl 0.1894 0.5000 0.0684
Ag1 Ag 0.0000 0.5000 0.5000
# Energy: -7.147 eV/atom
# Calculated formation energy: 103 meV/atom



# 12
# PBE Pu2TlAg6, optimized geometry
data_Pu2TlAg6
_cell_length_a 8.5870
_cell_length_b 8.5870
_cell_length_c 9.4682
_cell_angle_alpha 90.00
_cell_angle_beta 90.00
_cell_angle_gamma 120.00
_space_group_name_H-M_alt 'R -3 m'
_space_group_IT_number 166
_space_group_name_Hall '-R 3 2"'
loop_
_atom_site_label
_atom_site_type_symbol
_atom_site_fract_x
_atom_site_fract_y
_atom_site_fract_z
Pu1 Pu 0.0000 0.0000 0.1623
Tl1 Tl 0.0000 0.0000 0.5000
Ag1 Ag 0.0000 0.3328 0.0000
# Energy: -5.250 eV/atom
# Calculated formation energy: 99 meV/atom



# 13
# PBE Pu2TlAg, optimized geometry
data_Pu2TlAg
_cell_length_a 4.4596
_cell_length_b 4.4596
_cell_length_c 4.8783
_cell_angle_alpha 90.00
_cell_angle_beta 90.00
_cell_angle_gamma 90.00
_space_group_name_H-M_alt 'P 4/m m m'
_space_group_IT_number 123
_space_group_name_Hall '-P 4 2'
loop_
_atom_site_label
_atom_site_type_symbol
_atom_site_fract_x
_atom_site_fract_y
_atom_site_fract_z
Pu1 Pu 0.0000 0.5000 0.0000
Tl1 Tl 0.0000 0.0000 0.5000
Ag1 Ag 0.5000 0.5000 0.5000
# Energy: -8.464 eV/atom
# Calculated formation energy: 6 meV/atom
# Relative energy among the computed polymorphs: 0.0000 eV per atom



# 14
# PBE PuTlAg, optimized geometry
data_PuTlAg
_cell_length_a 5.1137
_cell_length_b 5.1137
_cell_length_c 3.1614
_cell_angle_alpha 90.00
_cell_angle_beta 90.00
_cell_angle_gamma 120.00
_space_group_name_H-M_alt 'P -6 m 2'
_space_group_IT_number 187
_space_group_name_Hall 'P -6 2'
loop_
_atom_site_label
_atom_site_type_symbol
_atom_site_fract_x
_atom_site_fract_y
_atom_site_fract_z
Pu1 Pu 0.0000 0.0000 0.0000
Tl1 Tl 0.3333 0.6667 0.5000
Ag1 Ag 0.6667 0.3333 0.5000
# Energy: -6.550 eV/atom
# Calculated formation energy: -33 meV/atom
# Relative energy among the computed polymorphs: 0.0000 eV per atom



# 15
# PBE Pu2TlAg, optimized geometry
data_Pu2TlAg
_cell_length_a 7.5070
_cell_length_b 7.5070
_cell_length_c 7.5070
_cell_angle_alpha 90.00
_cell_angle_beta 90.00
_cell_angle_gamma 90.00
_space_group_name_H-M_alt 'F m -3 m'
_space_group_IT_number 225
_space_group_name_Hall '-F 4 2 3'
loop_
_atom_site_label
_atom_site_type_symbol
_atom_site_fract_x
_atom_site_fract_y
_atom_site_fract_z
Pu1 Pu 0.2500 0.2500 0.2500
Tl1 Tl 0.0000 0.0000 0.0000
Ag1 Ag 0.0000 0.0000 0.5000
# Energy: -8.360 eV/atom
# Calculated formation energy: 111 meV/atom
# Relative energy among the computed polymorphs: 0.1045 eV per atom



# 16
# PBE TmPuTlAg, optimized geometry
data_TmPuTlAg
_cell_length_a 7.4547
_cell_length_b 7.4547
_cell_length_c 7.4547
_cell_angle_alpha 90.00
_cell_angle_beta 90.00
_cell_angle_gamma 90.00
_space_group_name_H-M_alt 'F -4 3 m'
_space_group_IT_number 216
_space_group_name_Hall 'F -4 2 3'
loop_
_atom_site_label
_atom_site_type_symbol
_atom_site_fract_x
_atom_site_fract_y
_atom_site_fract_z
Tm1 Tm 0.0000 0.0000 0.0000
Pu1 Pu 0.0000 0.0000 0.5000
Tl1 Tl 0.2500 0.2500 0.2500
Ag1 Ag 0.2500 0.2500 0.7500
# Energy: -6.097 eV/atom
# Calculated formation energy: -91 meV/atom



# 17
# PBE PuTlZnAg, optimized geometry
data_PuTlZnAg
_cell_length_a 7.0994
_cell_length_b 7.0994
_cell_length_c 7.0994
_cell_angle_alpha 90.00
_cell_angle_beta 90.00
_cell_angle_gamma 90.00
_space_group_name_H-M_alt 'F -4 3 m'
_space_group_IT_number 216
_space_group_name_Hall 'F -4 2 3'
loop_
_atom_site_label
_atom_site_type_symbol
_atom_site_fract_x
_atom_site_fract_y
_atom_site_fract_z
Pu1 Pu 0.0000 0.0000 0.0000
Tl1 Tl 0.0000 0.0000 0.5000
Zn1 Zn 0.2500 0.2500 0.2500
Ag1 Ag 0.2500 0.2500 0.7500
# Energy: -5.181 eV/atom
# Calculated formation energy: 25 meV/atom



# 18
# PBE TmPuAg, optimized geometry
data_TmPuAg
_cell_length_a 3.3247
_cell_length_b 3.7722
_cell_length_c 10.4351
_cell_angle_alpha 90.00
_cell_angle_beta 93.35
_cell_angle_gamma 90.00
_space_group_name_H-M_alt 'P 1 21/m 1'
_space_group_IT_number 11
loop_
_space_group_symop_operation_xyz
'x,y,z'
'-x,-y,-z'
'-x,y+1/2,-z'
'x,-y+1/2,z'
loop_
_atom_site_label
_atom_site_type_symbol
_atom_site_fract_x
_atom_site_fract_y
_atom_site_fract_z
Tm1 Tm 0.2086 0.2500 0.2663
Pu1 Pu 0.3578 0.2500 0.9519
Ag1 Ag 0.2634 0.2500 0.5719
# Energy: -7.232 eV/atom
# Calculated formation energy: -14 meV/atom
# Relative energy among the computed polymorphs: 0.0000 eV per atom



# 19
# PBE Tm4PuAg5, optimized geometry
data_Tm4PuAg5
_cell_length_a 3.5517
_cell_length_b 3.5517
_cell_length_c 18.5161
_cell_angle_alpha 90.00
_cell_angle_beta 90.00
_cell_angle_gamma 90.00
_space_group_name_H-M_alt 'P 4/m m m'
_space_group_IT_number 123
_space_group_name_Hall '-P 4 2'
loop_
_atom_site_label
_atom_site_type_symbol
_atom_site_fract_x
_atom_site_fract_y
_atom_site_fract_z
Tm1 Tm 0.0000 0.0000 0.0985
Tm2 Tm 0.0000 0.0000 0.2960
Pu1 Pu 0.0000 0.0000 0.5000
Ag1 Ag 0.5000 0.5000 0.0000
Ag2 Ag 0.5000 0.5000 0.1971
Ag3 Ag 0.5000 0.5000 0.3886
# Energy: -4.899 eV/atom
# Calculated formation energy: -251 meV/atom



# 20
# PBE Tm2PuAg, optimized geometry
data_Tm2PuAg
_cell_length_a 3.4317
_cell_length_b 3.4317
_cell_length_c 31.0488
_cell_angle_alpha 90.00
_cell_angle_beta 90.00
_cell_angle_gamma 120.00
_space_group_name_H-M_alt 'R -3 m'
_space_group_IT_number 166
_space_group_name_Hall '-R 3 2"'
loop_
_atom_site_label
_atom_site_type_symbol
_atom_site_fract_x
_atom_site_fract_y
_atom_site_fract_z
Tm1 Tm 0.0000 0.0000 0.2432
Pu1 Pu 0.0000 0.0000 0.0000
Ag1 Ag 0.0000 0.0000 0.5000
# Energy: -6.478 eV/atom
# Calculated formation energy: 54 meV/atom
# Relative energy among the computed polymorphs: 0.1170 eV per atom